TePbI6 | PBE | optimized geometry

Computed properties:
Total energy: -18.1 eV for the cell shown
ΔE_f (raw): -5.69 kcal/mol of atoms

Cell lengths 7.634, 7.635, 8.284 Å; angles 62.55, 62.54, 59.98 degrees
Sites, in units of the cell vectors:
Te  0.000  0.000  0.000
I  0.942  0.587  0.241
I  0.231  0.942  0.241
I  0.414  0.769  0.759
I  0.586  0.231  0.241
I  0.769  0.058  0.759
I  0.058  0.413  0.759
Pb  0.500  0.500  0.500


Ba2ZrTl | PBE | optimized geometry

Computed properties:
Total energy: -13.5 eV for the cell shown
ΔE_f: 324 meV per atom

Cell lengths 5.324, 3.747, 8.146 Å; angles 62.68, 90.00, 90.00 degrees
Sites, in units of the cell vectors:
Ba  0.000  0.998  0.002
Ba  0.000  0.502  0.498
Zr  0.500  0.750  0.750
Tl  0.500  0.250  0.250


Ni2P2W | PBE | optimized geometry

Computed properties:
Total energy: -72.7 eV for the cell shown
ΔE_f: -201 meV per atom

Cell lengths 6.425, 6.425, 3.022 Å; angles 90.00, 90.00, 90.00 degrees
Sites, in units of the cell vectors:
Ni  0.640  0.860  0.500
Ni  0.360  0.140  0.500
Ni  0.140  0.640  0.500
Ni  0.860  0.360  0.500
W  0.000  0.000  0.000
W  0.500  0.500  0.000
P  0.652  0.152  0.000
P  0.348  0.848  0.000
P  0.152  0.348  0.000
P  0.848  0.652  0.000